# 1
ThAl3NiAg after structural relaxation. Source: Alexandria via LeMat-Bulk, functional PBE.

## Properties
formation energy = -0.255 eV/atom
crystal system = orthorhombic

Cell lengths 6.0811, 12.4123, 6.0391 Å; angles 90.00, 90.00, 90.00 degrees
Closest atoms and distances in Å follow each position.
Space group Cmcm (No. 63)
Unique sites:
Th: 0.0000 0.2230 0.2500 x4  1 Ni 2.58
Al: 0.0000 0.3662 0.7500 x4  1 Ni 2.52, 1 Ag 2.67, 4 Al 2.82
Al: 0.2195 0.0000 0.0000 x8  2 Ni 2.44, 1 Al 2.67
Ni: 0.0000 0.4306 0.2500 x4  5 Al 2.44-2.52, 1 Th 2.58
Ag: 0.0000 0.1514 0.7500 x4  5 Al 2.67-2.76

***

# 2
CoNi2Mo after structural relaxation. Source: Alexandria via LeMat-Bulk, functional PBE.

## Properties
formation energy = 0.113 eV/atom
crystal system = tetragonal

Cell lengths 3.0139, 3.0139, 5.3527 Å; angles 90.00, 90.00, 90.00 degrees
Closest atoms and distances in Å follow each position.
Space group P4mm (No. 99)
Unique sites:
Co: 0.0000 0.0000 0.0000 x1  5 Ni 2.47, 4 Mo 2.57
Ni: 0.0000 0.0000 0.5386 x1  4 Ni 2.45, 1 Co 2.47, 4 Mo 2.58
Ni: 0.5000 0.5000 0.7653 x1  4 Ni 2.45, 4 Co 2.47, 2 Mo 2.67-2.68
Mo: 0.5000 0.5000 0.2668 x1  4 Co 2.57, 6 Ni 2.58-2.68

***

What spin magnetization values result from the calculations? In sequence: 0.0, 1.9 μB/cell.